Computed, not measured: RbCrFe2 at its PBEsol-relaxed geometry at the SCAN level of DFT.

Output
As for the space group: Fm-3m. The calculation puts the electronic total energy at -16.94 eV per atom.

Structure (extended XYZ):
```
4
Lattice="0.000 3.229 3.229 3.229 0.000 3.229 3.229 3.229 0.000" Properties=species:S:1:pos:R:3 pbc="T T T"
Rb 0.000 0.000 0.000
Cr 3.229 3.229 3.229
Fe 1.614 1.614 1.614
Fe 4.843 4.843 4.843
```